Entry from the Alexandria database: a geometry-optimized Y3HgO structure (PBE-GGA).

Output
Total DFT energy (no corrections): -6.332 eV/atom
Crystal system: cubic
Magnetization: 0.000 μB per cell
Formation energy without anion corrections: -1401.4 meV per atom
Calculated volume: 21.8 Å³ per atom

The structure in CIF format:
```
data_Y3HgO
_space_group_name_H-M_alt 'P m -3 m'
_space_group_IT_number 221
_space_group_name_Hall '-P 4 2 3'
_cell_length_a 4.7799
_cell_length_b 4.7799
_cell_length_c 4.7799
_cell_angle_alpha 90.00
_cell_angle_beta 90.00
_cell_angle_gamma 90.00
loop_
_atom_site_label
_atom_site_type_symbol
_atom_site_fract_x
_atom_site_fract_y
_atom_site_fract_z
Y1 Y 0.0000 0.0000 0.5000
Hg1 Hg 0.5000 0.5000 0.5000
O1 O 0.0000 0.0000 0.0000
```

=====

Entry from the Alexandria database: a geometry-optimized BaNiIN2 structure (PBE-GGA).

Output
Total DFT energy (no corrections): -3.412 eV/atom
Crystal system: tetragonal
Magnetization: 3.319 μB per cell
Formation energy without anion corrections: 1769.4 meV per atom
Calculated volume: 31.0 Å³ per atom

The structure in CIF format:
```
data_BaNiIN2
_space_group_name_H-M_alt 'P 4/m m m'
_space_group_IT_number 123
_space_group_name_Hall '-P 4 2'
_cell_length_a 4.6393
_cell_length_b 4.6393
_cell_length_c 7.1956
_cell_angle_alpha 90.00
_cell_angle_beta 90.00
_cell_angle_gamma 90.00
loop_
_atom_site_label
_atom_site_type_symbol
_atom_site_fract_x
_atom_site_fract_y
_atom_site_fract_z
Ba1 Ba 0.0000 0.0000 0.0000
Ni1 Ni 0.5000 0.5000 0.5000
I1 I 0.0000 0.0000 0.5000
N1 N 0.0000 0.5000 0.0000
```

=====

no.,distance to the lowest polymorph of the same formula (meV/atom)
1,0
2,989